TbMo6Se8: relaxed, PBE-GGA.

Values from the calculation:
E_form (uncorrected), eV/atom: -0.71
DFT total energy, eV per atom: -7.212
Fermi-level density of states, states/eV/f.u.: 7.308

Cell: 9.5016 9.5016 11.9123 Å, 90.00 90.00 120.00°
Space group R-3 (No. 148, hexagonal axes)
One atom of each set of equivalent atoms:
Tb1 0.0000 0.0000 0.0000
Mo1 0.0187 0.8465 0.4054
Se1 0.0000 0.0000 0.2376
Se2 0.0072 0.3802 0.7498